This record from the Alexandria database describes ThMgBe2Si2 after structural relaxation. The functional is PBE.

Summary:
total moment = 0.00 μB/f.u.
energy relative to the elements, uncorrected = -0.2937 eV/atom
symmetry = P-3m1, No. 164
E_tot = -29.07 eV for the cell shown

abc: 3.8958 3.8958 7.8418
angles: 90.00 90.00 120.00
Last column: nearest neighbours and their distance in Å.
Positions (direct):
Th 0.0000 0.0000 0.0000  6 Si 3.07, 6 Be 3.07
Mg 0.0000 0.0000 0.5000  6 Be 2.90, 6 Si 2.90
Be 0.3333 0.6667 0.7335  3 Si 2.25
Be 0.6667 0.3333 0.2665  3 Si 2.25
Si 0.3333 0.6667 0.2662  3 Be 2.25
Si 0.6667 0.3333 0.7338  3 Be 2.25


This record from the Alexandria database describes Mg2TiBeSi after structural relaxation. The functional is PBE.

Summary:
total moment = 0.00 μB/f.u.
energy relative to the elements, uncorrected = 0.6734 eV/atom
symmetry = P4/mmm, No. 123
E_tot = -16.87 eV for the cell shown

abc: 4.8020 4.8020 4.7772
angles: 90.00 90.00 90.00
Last column: nearest neighbours and their distance in Å.
Positions (direct):
Mg 0.0000 0.5000 0.0000  2 Si 2.40
Mg 0.5000 0.0000 0.0000  2 Si 2.40
Ti 0.0000 0.0000 0.5000  2 Si 2.39
Be 0.5000 0.5000 0.5000  8 Mg 3.39, 4 Ti 3.40
Si 0.0000 0.0000 0.0000  2 Ti 2.39, 4 Mg 2.40


This record from the Alexandria database describes YMgBeSi2 after structural relaxation. The functional is PBE.

Summary:
total moment = 0.00 μB/f.u.
energy relative to the elements, uncorrected = 1.1513 eV/atom
symmetry = P4/mmm, No. 123
E_tot = -16.87 eV for the cell shown

abc: 4.7376 4.7376 5.4863
angles: 90.00 90.00 90.00
Last column: nearest neighbours and their distance in Å.
Positions (direct):
Y 0.0000 0.0000 0.0000  2 Mg 2.74
Mg 0.0000 0.0000 0.5000  4 Si 2.37
Be 0.5000 0.5000 0.0000  4 Y 3.35, 8 Si 3.62
Si 0.0000 0.5000 0.5000  2 Mg 2.37
Si 0.5000 0.0000 0.5000  2 Mg 2.37


This record from the Alexandria database describes MgZrBe2Si after structural relaxation. The functional is PBE.

Summary:
total moment = 0.83 μB/f.u.
energy relative to the elements, uncorrected = 1.7443 eV/atom
symmetry = P4/mmm, No. 123
E_tot = -14.30 eV for the cell shown

abc: 4.6651 4.6651 5.4600
angles: 90.00 90.00 90.00
Last column: nearest neighbours and their distance in Å.
Positions (direct):
Mg 0.0000 0.0000 0.0000  2 Zr 2.73
Zr 0.0000 0.0000 0.5000  4 Be 2.33
Be 0.0000 0.5000 0.5000  2 Zr 2.33
Be 0.5000 0.0000 0.5000  2 Zr 2.33
Si 0.5000 0.5000 0.0000  4 Mg 3.30, 8 Be 3.59


This record from the Alexandria database describes SmMgBe after structural relaxation. The functional is PBE.

Summary:
total moment = 0.00 μB/f.u.
ΔH_f (0 K) = 177 meV/atom
symmetry = Cmcm, No. 63
E_tot = -38.04 eV for the cell shown

abc: 5.0446 16.1166 3.1103
angles: 90.00 90.00 90.00
Last column: nearest neighbours and their distance in Å.
Positions (direct):
Sm 0.0000 0.0914 0.2500  6 Be 3.04-3.39, 4 Sm 3.11-3.33, 2 Mg 3.20
Sm 0.0000 0.9086 0.7500  6 Be 3.04-3.39, 4 Sm 3.11-3.33, 2 Mg 3.20
Sm 0.5000 0.4086 0.7500  6 Be 3.04-3.39, 4 Sm 3.11-3.33, 2 Mg 3.20
Sm 0.5000 0.5914 0.2500  6 Be 3.04-3.39, 4 Sm 3.11-3.33, 2 Mg 3.20
Mg 0.0000 0.2863 0.7500  2 Be 3.07, 6 Mg 3.11-3.19, 2 Sm 3.20
Mg 0.0000 0.7137 0.2500  2 Be 3.07, 6 Mg 3.11-3.19, 2 Sm 3.20
Mg 0.5000 0.2137 0.2500  2 Be 3.07, 6 Mg 3.11-3.19, 2 Sm 3.20
Mg 0.5000 0.7863 0.7500  2 Be 3.07, 6 Mg 3.11-3.19, 2 Sm 3.20
Be 0.0000 0.4505 0.2500  2 Be 2.23
Be 0.0000 0.5495 0.7500  2 Be 2.23
Be 0.5000 0.0495 0.7500  2 Be 2.23
Be 0.5000 0.9505 0.2500  2 Be 2.23


This record from the Alexandria database describes SmTmMgBe after structural relaxation. The functional is PBE.

Summary:
total moment = 0.00 μB/f.u.
ΔH_f (0 K) = 99 meV/atom
symmetry = F-43m, No. 216
E_tot = -56.47 eV for the cell shown

abc: 7.2184 7.2184 7.2184
angles: 90.00 90.00 90.00
Last column: nearest neighbours and their distance in Å.
Positions (direct):
Sm 0.0000 0.0000 0.0000  4 Mg 3.13, 4 Be 3.13
Sm 0.0000 0.5000 0.5000  4 Be 3.13, 4 Mg 3.13
Sm 0.5000 0.0000 0.5000  4 Be 3.13, 4 Mg 3.13
Sm 0.5000 0.5000 0.0000  4 Be 3.13, 4 Mg 3.13
Tm 0.0000 0.0000 0.5000  4 Mg 3.13, 4 Be 3.13
Tm 0.0000 0.5000 0.0000  4 Be 3.13, 4 Mg 3.13
Tm 0.5000 0.0000 0.0000  4 Be 3.13, 4 Mg 3.13
Tm 0.5000 0.5000 0.5000  4 Be 3.13, 4 Mg 3.13
Mg 0.2500 0.2500 0.7500  4 Tm 3.13, 4 Sm 3.13
Mg 0.2500 0.7500 0.2500  4 Tm 3.13, 4 Sm 3.13
Mg 0.7500 0.2500 0.2500  4 Tm 3.13, 4 Sm 3.13
Mg 0.7500 0.7500 0.7500  4 Tm 3.13, 4 Sm 3.13
Be 0.2500 0.2500 0.2500  4 Tm 3.13, 4 Sm 3.13
Be 0.2500 0.7500 0.7500  4 Tm 3.13, 4 Sm 3.13
Be 0.7500 0.2500 0.7500  4 Tm 3.13, 4 Sm 3.13
Be 0.7500 0.7500 0.2500  4 Tm 3.13, 4 Sm 3.13


This record from the Alexandria database describes SmYMgBe after structural relaxation. The functional is PBE.

Summary:
total moment = 0.00 μB/f.u.
ΔH_f (0 K) = 87 meV/atom
symmetry = F-43m, No. 216
E_tot = -64.62 eV for the cell shown

abc: 7.2757 7.2757 7.2757
angles: 90.00 90.00 90.00
Last column: nearest neighbours and their distance in Å.
Positions (direct):
Sm 0.0000 0.0000 0.0000  4 Be 3.15, 4 Mg 3.15
Sm 0.0000 0.5000 0.5000  4 Be 3.15, 4 Mg 3.15
Sm 0.5000 0.0000 0.5000  4 Be 3.15, 4 Mg 3.15
Sm 0.5000 0.5000 0.0000  4 Be 3.15, 4 Mg 3.15
Y 0.0000 0.0000 0.5000  4 Be 3.15, 4 Mg 3.15
Y 0.0000 0.5000 0.0000  4 Be 3.15, 4 Mg 3.15
Y 0.5000 0.0000 0.0000  4 Be 3.15, 4 Mg 3.15
Y 0.5000 0.5000 0.5000  4 Be 3.15, 4 Mg 3.15
Mg 0.2500 0.2500 0.2500  4 Sm 3.15, 4 Y 3.15
Mg 0.2500 0.7500 0.7500  4 Sm 3.15, 4 Y 3.15
Mg 0.7500 0.2500 0.7500  4 Sm 3.15, 4 Y 3.15
Mg 0.7500 0.7500 0.2500  4 Sm 3.15, 4 Y 3.15
Be 0.2500 0.2500 0.7500  4 Sm 3.15, 4 Y 3.15
Be 0.2500 0.7500 0.2500  4 Sm 3.15, 4 Y 3.15
Be 0.7500 0.2500 0.2500  4 Sm 3.15, 4 Y 3.15
Be 0.7500 0.7500 0.7500  4 Sm 3.15, 4 Y 3.15


This record from the Alexandria database describes Mg3BeSn after structural relaxation. The functional is PBE.

Summary:
total moment = 0.00 μB/f.u.
ΔH_f (0 K) = 243 meV/atom
symmetry = Pm-3m, No. 221
E above lowest polymorph = 0 meV per atom
E_tot = -11.30 eV for the cell shown

abc: 4.8002 4.8002 4.8002
angles: 90.00 90.00 90.00
Last column: nearest neighbours and their distance in Å.
Positions (direct):
Mg 0.0000 0.0000 0.5000  2 Be 2.40
Mg 0.0000 0.5000 0.0000  2 Be 2.40
Mg 0.5000 0.0000 0.0000  2 Be 2.40
Be 0.0000 0.0000 0.0000  6 Mg 2.40
Sn 0.5000 0.5000 0.5000  12 Mg 3.39